Below is a PBEsol-optimized structure of Re2OsRu, with properties calculated at the meta-GGA SCAN level.

Uncorrected energy: -62.334 eV/atom
SG: No. 25
Mass density: 19.55 Mg/m³
DOS(E_F): 3.1 states/eV/cell

a = 2.741 Å, b = 4.344 Å, c = 4.733 Å
α = 90.00°, β = 90.00°, γ = 90.00°
Element x y z (fractional)
Re (0.000, 0.000, 0.041)
Re (0.000, 0.500, 0.706)
Ru (0.500, 0.000, 0.547)
Os (0.500, 0.500, 0.205)